No. 1
DFT (GGA-PBE) results for a relaxed Pu3Ge2H crystal.

Output
N(E_F) (states/eV/cell): 27.77
Space group: Immm, No. 71

abc: 3.970 4.448 8.321
angles: 105.50 103.80 90.00
Site moments in Bohr magnetons follow the coordinates.
Atoms (fractional coordinates):
Ge  0.640  0.640  0.280  0.02
Ge  0.360  0.360  0.720  0.02
Pu  0.833  0.833  0.667  -5.28
Pu  0.167  0.167  0.333  -5.28
Pu  0.000  0.500  0.000  5.11
H  0.000  0.000  0.000  -0.01

No. 2
DFT (GGA-PBE) results for a relaxed Pu2GeH4 crystal.

Output
N(E_F) (states/eV/cell): 34.36
Space group: P4_2/mnm, No. 136

abc: 3.629 7.112 7.112
angles: 90.00 90.00 90.00
Site moments in Bohr magnetons follow the coordinates.
Atoms (fractional coordinates):
H  0.000  0.333  0.093  -0.03
H  0.500  0.593  0.167  -0.03
H  0.500  0.167  0.593  -0.03
H  0.500  0.407  0.833  -0.03
H  0.000  0.907  0.667  -0.03
H  0.000  0.093  0.333  -0.03
H  0.000  0.667  0.907  -0.03
H  0.500  0.833  0.407  -0.03
Pu  0.000  0.223  0.777  4.73
Pu  0.000  0.777  0.223  4.73
Pu  0.500  0.723  0.723  4.73
Pu  0.500  0.277  0.277  4.73
Ge  0.000  0.500  0.500  -0.04
Ge  0.500  0.000  0.000  -0.04

No. 3
DFT (GGA-PBE) results for a relaxed Pu2Ge2HRh2 crystal.

Output
N(E_F) (states/eV/cell): 14.75
Space group: Immm, No. 71

abc: 4.437 5.850 5.851
angles: 56.19 67.74 67.74
Site moments in Bohr magnetons follow the coordinates.
Atoms (fractional coordinates):
Pu  0.500  0.250  0.749  5.22
Pu  0.500  0.750  0.251  5.22
Ge  0.186  0.315  0.314  -0.04
Ge  0.814  0.685  0.686  -0.04
Rh  0.811  0.190  0.189  -0.01
Rh  0.189  0.810  0.811  -0.01
H  0.000  0.000  0.000  -0.01

The calculation returns the following calculated volume values, one per record and in order: 137 184 114 Å³ per cell.
The calculation returns the following E values, one per record and in order: -9.44 -6.84 -8.47 eV/atom.